Entry 1:
{
  "formula": "Sc4AgRu",
  "functional": "PBE",
  "state": "relaxed",
  "ef_ev_per_fu": -0.81,
  "polymorph_energy_ev_per_fu": 0.876,
  "cell": [[4.725, 0.000, 0.000], [2.362, 4.093, 0.243], [2.362, 0.954, 7.232]],
  "species": ["Ru", "Sc", "Sc", "Sc", "Sc", "Ag"],
  "fractional_positions": [[0.000, 0.000, 0.000], [0.882, 0.882, 0.355], [0.118, 0.118, 0.645], [0.366, 0.366, 0.902], [0.634, 0.634, 0.098], [0.500, 0.500, 0.500]]
}

---

Entry 2:
{
  "formula": "SrScIn2",
  "functional": "PBE",
  "state": "relaxed",
  "ef_ev_per_fu": -1.13,
  "cell": [[5.429, 0.000, 0.000], [0.000, 3.762, -0.024], [0.000, 0.035, 5.430]],
  "species": ["Sc", "In", "In", "Sr"],
  "fractional_positions": [[0.000, 0.625, 0.377], [0.500, 0.125, 0.372], [0.000, 0.125, 0.879], [0.500, 0.625, 0.872]]
}

---

Entry 3:
{
  "formula": "Pr8Ni2Pd",
  "functional": "PBE",
  "state": "relaxed",
  "ef_ev_per_fu": -2.32,
  "polymorph_energy_ev_per_fu": 0.000,
  "cell": [[5.254, 0.000, 0.000], [0.000, 6.785, 0.017], [-2.627, -2.927, 8.832]],
  "species": ["Pr", "Pr", "Pr", "Pd", "Pr", "Pr", "Pr", "Pr", "Ni", "Pr", "Ni"],
  "fractional_positions": [[0.033, 0.793, 0.066], [0.967, 0.207, 0.934], [0.198, 0.354, 0.396], [0.500, 0.000, 0.000], [0.802, 0.646, 0.604], [0.592, 0.469, 0.185], [0.679, 0.006, 0.357], [0.408, 0.531, 0.815], [0.828, 0.256, 0.656], [0.321, 0.994, 0.643], [0.172, 0.744, 0.344]]
}

---

Entry 4:
{
  "formula": "RbTiHIr2",
  "functional": "PBE",
  "state": "relaxed",
  "total_energy_ev_per_atom": -5.096,
  "cell": [[-0.579, 4.073, -2.167], [-1.004, -2.408, -4.257], [-4.518, -0.059, 1.098]],
  "species": ["Ir", "Rb", "Ir", "H", "Ti"],
  "fractional_positions": [[0.000, 0.000, 0.500], [0.500, 0.500, 0.500], [0.500, 0.000, 0.000], [0.000, 0.500, 0.000], [0.000, 0.000, 0.000]]
}

---

Question: Which formula does entry 3 have?
Answer: Pr8Ni2Pd

---

Question: Which formula does entry 1 have?
Answer: Sc4AgRu